P) ## Ba2NaCdPd (PBE)

Data for an optimized crystal structure of Ba2NaCdPd.

The space group is P4/mmm (No. 123) and the conventional cell measures 6.165, 6.165 and 5.461 Å, with angles of 90.00, 90.00 and 90.00 degrees. The asymmetric unit holds Ba at (0.000, 0.500, 0.000), Na at (0.000, 0.000, 0.500), Cd at (0.500, 0.500, 0.500) and Pd at (0.000, 0.000, 0.000).

The calculation puts the size of the total moment at 0.000 μB per atom. The calculation puts the density of states at the Fermi level at 3.740 states/eV/cell.

Q) ## Ba2NaCdPd (PBE)

Data for an optimized crystal structure of Ba2NaCdPd.

The space group is P4/mmm (No. 123) and the conventional cell measures 6.196, 6.196 and 5.393 Å, with angles of 90.00, 90.00 and 90.00 degrees. The asymmetric unit holds Ba at (0.000, 0.500, 0.000), Na at (0.000, 0.000, 0.500), Cd at (0.500, 0.500, 0.500) and Pd at (0.500, 0.500, 0.000).

The calculation puts the size of the total moment at 0.000 μB per atom. The calculation puts the density of states at the Fermi level at 3.127 states/eV/cell.

Of them, P) has the lowest stability.

P) ## BaNaCd2Pd (PBE)

Data for an optimized crystal structure of BaNaCd2Pd.

The space group is P4/mmm (No. 123) and the conventional cell measures 5.340, 5.340 and 5.356 Å, with angles of 90.00, 90.00 and 90.00 degrees. The asymmetric unit holds Ba at (0.000, 0.000, 0.000), Na at (0.500, 0.500, 0.000), Cd at (0.000, 0.500, 0.500) and Pd at (0.500, 0.500, 0.500).

The calculation puts the size of the total moment at 0.000 μB per atom. The calculation puts the density of states at the Fermi level at 3.898 states/eV/cell.

Q) ## BaNaCd2Pd (PBE)

Data for an optimized crystal structure of BaNaCd2Pd.

The space group is P4/mmm (No. 123) and the conventional cell measures 5.413, 5.413 and 5.841 Å, with angles of 90.00, 90.00 and 90.00 degrees. The asymmetric unit holds Ba at (0.000, 0.000, 0.000), Na at (0.500, 0.500, 0.000), Cd at (0.000, 0.500, 0.500) and Pd at (0.000, 0.000, 0.500).

The calculation puts the size of the total moment at 0.000 μB per atom. The calculation puts the density of states at the Fermi level at 2.733 states/eV/cell.

Of them, Q) has the lowest stability.